No. 1
Density functional theory data (PBE) for a geometry-optimized SrNiW2 structure.

CIF file:
```
data_SrNiW2
_symmetry_space_group_name_H-M 'C m m m'
_symmetry_Int_Tables_number 65
_symmetry_space_group_name_Hall '-C 2 2'
_cell_length_a 3.712
_cell_length_b 4.137
_cell_length_c 9.295
_cell_angle_alpha 90.00
_cell_angle_beta 90.00
_cell_angle_gamma 90.00
loop_
_atom_site_label
_atom_site_fract_x
_atom_site_fract_y
_atom_site_fract_z
Sr1 0.000 0.000 0.000
Ni1 0.000 0.000 0.500
W1 0.000 0.500 0.305
```

- ΔE_f: 0.829 eV per atom
- ΔE to the lowest computed polymorph: 1.04 eV/f.u.



No. 2
Density functional theory data (PBE) for a geometry-optimized Tl2TcAg structure.

CIF file:
```
data_Tl2TcAg
_symmetry_space_group_name_H-M 'C 1 2/m 1'
_symmetry_Int_Tables_number 12
_cell_length_a 6.378
_cell_length_b 7.920
_cell_length_c 3.204
_cell_angle_alpha 90.00
_cell_angle_beta 90.30
_cell_angle_gamma 90.00
loop_
_symmetry_equiv_pos_as_xyz
'x,y,z'
'-x,-y,-z'
'-x,y,-z'
'x,-y,z'
'x+1/2,y+1/2,z'
'-x+1/2,-y+1/2,-z'
'-x+1/2,y+1/2,-z'
'x+1/2,-y+1/2,z'
loop_
_atom_site_label
_atom_site_fract_x
_atom_site_fract_y
_atom_site_fract_z
Tl1 0.250 0.250 0.000
Tc1 0.000 0.000 0.500
Ag1 0.000 0.500 0.500
```

- ΔE_f: 0.585 eV per atom
- ΔE to the lowest computed polymorph: 0.21 eV/f.u.



No. 3
Density functional theory data (PBE) for a geometry-optimized K2Rb6O structure.

CIF file:
```
data_K2Rb6O
_symmetry_space_group_name_H-M 'C 1 2/m 1'
_symmetry_Int_Tables_number 12
_cell_length_a 16.698
_cell_length_b 9.360
_cell_length_c 9.315
_cell_angle_alpha 90.00
_cell_angle_beta 123.81
_cell_angle_gamma 90.00
loop_
_symmetry_equiv_pos_as_xyz
'x,y,z'
'-x,-y,-z'
'-x,y,-z'
'x,-y,z'
'x+1/2,y+1/2,z'
'-x+1/2,-y+1/2,-z'
'-x+1/2,y+1/2,-z'
'x+1/2,-y+1/2,z'
loop_
_atom_site_label
_atom_site_fract_x
_atom_site_fract_y
_atom_site_fract_z
K1 0.248 0.000 0.249
Rb1 0.000 0.285 0.216
Rb2 0.206 0.500 0.205
O1 0.000 0.500 0.000
```

- Formation energy without anion corrections: -0.32 eV/atom
- ΔE to the lowest computed polymorph: 0.00 eV/f.u.



No. 4
Density functional theory data (PBE) for a geometry-optimized Pd4S structure.

CIF file:
```
data_Pd4S
_symmetry_space_group_name_H-M 'P -4 21 c'
_symmetry_Int_Tables_number 114
_cell_length_a 5.187
_cell_length_b 5.187
_cell_length_c 5.657
_cell_angle_alpha 90.00
_cell_angle_beta 90.00
_cell_angle_gamma 90.00
loop_
_symmetry_equiv_pos_as_xyz
'x,y,z'
'y,-x,-z'
'-x,-y,z'
'-y,x,-z'
'x+1/2,-y+1/2,-z+1/2'
'y+1/2,x+1/2,z+1/2'
'-x+1/2,y+1/2,-z+1/2'
'-y+1/2,-x+1/2,z+1/2'
loop_
_atom_site_label
_atom_site_fract_x
_atom_site_fract_y
_atom_site_fract_z
Pd1 0.147 0.268 0.157
S1 0.000 0.000 0.500
```

- Formation energy without anion corrections: -0.17 eV/atom
- ΔE to the lowest computed polymorph: 0.00 eV/f.u.



No. 5
Density functional theory data (PBE) for a geometry-optimized CsSmMnSe3 structure.

CIF file:
```
data_CsSmMnSe3
_symmetry_space_group_name_H-M 'P 1 21/m 1'
_symmetry_Int_Tables_number 11
_cell_length_a 9.776
_cell_length_b 4.327
_cell_length_c 10.359
_cell_angle_alpha 90.00
_cell_angle_beta 110.48
_cell_angle_gamma 90.00
loop_
_symmetry_equiv_pos_as_xyz
'x,y,z'
'-x,-y,-z'
'-x,y+1/2,-z'
'x,-y+1/2,z'
loop_
_atom_site_label
_atom_site_fract_x
_atom_site_fract_y
_atom_site_fract_z
Cs1 0.214 0.250 0.241
Sm1 0.332 0.750 0.861
Mn1 0.086 0.250 0.610
Se1 0.122 0.250 0.858
Se2 0.191 0.750 0.543
Se3 0.473 0.750 0.157
```

- Formation energy without anion corrections: -1.31 eV/atom
- ΔE to the lowest computed polymorph: 0.18 eV/f.u.



No. 6
Density functional theory data (PBE) for a geometry-optimized CsInTe2 structure.

CIF file:
```
data_CsInTe2
_symmetry_space_group_name_H-M 'C 1 2/m 1'
_symmetry_Int_Tables_number 12
_cell_length_a 7.761
_cell_length_b 4.475
_cell_length_c 8.925
_cell_angle_alpha 90.00
_cell_angle_beta 90.08
_cell_angle_gamma 90.00
loop_
_symmetry_equiv_pos_as_xyz
'x,y,z'
'-x,-y,-z'
'-x,y,-z'
'x,-y,z'
'x+1/2,y+1/2,z'
'-x+1/2,-y+1/2,-z'
'-x+1/2,y+1/2,-z'
'x+1/2,-y+1/2,z'
loop_
_atom_site_label
_atom_site_fract_x
_atom_site_fract_y
_atom_site_fract_z
Cs1 0.000 0.000 0.000
In1 0.000 0.000 0.500
Te1 0.167 0.500 0.683
```

- Formation energy without anion corrections: -0.59 eV/atom



no.,size of the total moment (μB per cell)
1,0.00
2,2.65
3,0.00
4,0.00
5,10.00
6,0.00